(1)
Material: In2Hg2Cl
Method: DFT, PBE
State: relaxed

Calculated values
- E above lowest polymorph (eV/f.u.) = 0.356
- crystal system = tetragonal
- formation energy (no corrections) (eV per formula unit) = -1.0

CIF file:
```
data_In2Hg2Cl
_chemical_formula_sum 'In4 Hg4 Cl2'
_space_group_name_H-M_alt 'P 1'
_space_group_IT_number 1
_cell_length_a 8.5007
_cell_length_b 8.5007
_cell_length_c 3.9251
_cell_angle_alpha 90.00
_cell_angle_beta 90.00
_cell_angle_gamma 90.00
loop_
_space_group_symop_operation_xyz
'x,y,z'
loop_
_atom_site_label
_atom_site_fract_x
_atom_site_fract_y
_atom_site_fract_z
Hg1 0.8696 0.6304 0.0000
Hg2 0.1304 0.3696 0.0000
Hg3 0.6304 0.1304 0.0000
Hg4 0.3696 0.8696 0.0000
Cl1 0.5000 0.5000 0.0000
Cl2 0.0000 0.0000 0.0000
In1 0.6776 0.8224 0.5000
In2 0.8224 0.3224 0.5000
In3 0.1776 0.6776 0.5000
In4 0.3224 0.1776 0.5000
```

(2)
Material: MnPAuSN
Method: DFT, PBE
State: relaxed

Calculated values
- E above lowest polymorph (eV/f.u.) = 0.035
- crystal system = monoclinic
- formation energy (no corrections) (eV per formula unit) = -0.4

CIF file:
```
data_MnPAuSN
_chemical_formula_sum 'Mn2 P2 Au2 S2 N2'
_space_group_name_H-M_alt 'P 1'
_space_group_IT_number 1
_cell_length_a 7.3875
_cell_length_b 2.7840
_cell_length_c 9.9449
_cell_angle_alpha 90.00
_cell_angle_beta 123.88
_cell_angle_gamma 90.00
loop_
_space_group_symop_operation_xyz
'x,y,z'
loop_
_atom_site_label
_atom_site_fract_x
_atom_site_fract_y
_atom_site_fract_z
Mn1 0.4239 0.0000 0.4795
Mn2 0.4239 0.5000 0.9795
Au1 0.8603 0.5000 0.0904
Au2 0.8603 0.0000 0.5904
P1 0.5455 0.5000 0.8186
P2 0.5455 0.0000 0.3186
N1 0.5308 0.5000 0.2141
N2 0.5308 0.0000 0.7141
S1 0.1510 0.5000 0.3764
S2 0.1510 0.0000 0.8764
```

(3)
Material: SrAc3Al8
Method: DFT, PBE
State: relaxed

Calculated values
- crystal system = trigonal
- energy of formation from the pure elements (eV/atom) = -0.335

CIF file:
```
data_SrAc3Al8
_chemical_formula_sum 'Sr1 Ac3 Al8'
_space_group_name_H-M_alt 'P 1'
_space_group_IT_number 1
_cell_length_a 5.8914
_cell_length_b 5.8914
_cell_length_c 10.2343
_cell_angle_alpha 73.27
_cell_angle_beta 73.27
_cell_angle_gamma 60.00
loop_
_space_group_symop_operation_xyz
'x,y,z'
loop_
_atom_site_label
_atom_site_fract_x
_atom_site_fract_y
_atom_site_fract_z
Al1 0.6870 0.6870 0.9390
Al2 0.9377 0.9377 0.6879
Al3 0.9377 0.4366 0.6879
Al4 0.4374 0.9384 0.1869
Al5 0.1880 0.1880 0.4360
Al6 0.4374 0.4374 0.1869
Al7 0.4366 0.9377 0.6879
Al8 0.9384 0.4374 0.1869
Ac1 0.3750 0.3750 0.8750
Ac2 0.5012 0.5012 0.4965
Ac3 0.9989 0.9989 0.0034
Sr1 0.8748 0.8748 0.3756
```

What did we get for size of the total moment? Answer: 0.000; 4.063; 0.000 μB per cell, in the order shown.